(1)
{"formula": "Ag5BiTe6", "functional": "PBE-GGA", "state": "optimized geometry", "lattice": [[3.688, -6.296, 0.000], [3.688, 6.296, 0.000], [-2.512, 0.000, 6.924]], "species": ["Ag", "Ag", "Ag", "Ag", "Ag", "Bi", "Te", "Te", "Te", "Te", "Te", "Te"], "fractional_positions": [[0.000, 0.000, 0.000], [0.172, 0.828, 0.500], [0.346, 0.654, 0.000], [0.654, 0.346, 0.000], [0.828, 0.172, 0.500], [0.500, 0.500, 0.500], [0.084, 0.434, 0.229], [0.217, 0.217, 0.736], [0.434, 0.084, 0.229], [0.566, 0.916, 0.771], [0.783, 0.783, 0.264], [0.916, 0.566, 0.771]], "energy_ev_per_atom": -3.117, "e_form_raw_ev_per_atom": -0.035}



(2)
{"formula": "SiSbW2", "functional": "PBE-GGA", "state": "optimized geometry", "lattice": [[1.559, 0.900, 8.408], [-1.559, 0.900, 8.408], [0.000, -1.800, 8.408]], "species": ["Si", "Sb", "W", "W"], "fractional_positions": [[0.000, 0.000, 0.000], [0.241, 0.241, 0.241], [0.487, 0.487, 0.487], [0.739, 0.739, 0.739]], "energy_ev_per_atom": -8.484, "e_form_raw_ev_per_atom": 0.379}



(3)
{"formula": "FeC5", "functional": "PBE-GGA", "state": "optimized geometry", "lattice": [[0.000, 2.941, 2.941], [2.941, 0.000, 2.941], [2.941, 2.941, 0.000]], "species": ["Fe", "C", "C", "C", "C", "C"], "fractional_positions": [[0.000, 0.000, 0.000], [0.406, 0.406, 0.406], [0.406, 0.406, 0.782], [0.406, 0.782, 0.406], [0.750, 0.750, 0.750], [0.782, 0.406, 0.406]], "energy_ev_per_atom": -6.042, "e_form_ev_per_atom": 3.0551}



(4)
{"formula": "KReSi", "functional": "PBE-GGA", "state": "optimized geometry", "lattice": [[2.998, 0.000, 0.000], [-1.499, 2.596, 0.000], [0.000, 0.000, 7.555]], "species": ["K", "Re", "Si"], "fractional_positions": [[0.000, 0.000, 0.000], [0.667, 0.333, 0.392], [0.333, 0.667, 0.624]], "energy_ev_per_atom": -5.660, "e_form_raw_ev_per_atom": 0.663}



(5)
{"formula": "Nd2TePd", "functional": "PBE-GGA", "state": "optimized geometry", "lattice": [[2.067, -11.825, 0.000], [2.067, 11.825, 0.000], [0.000, 0.000, 4.679]], "species": ["Nd", "Nd", "Nd", "Nd", "Te", "Te", "Pd", "Pd"], "fractional_positions": [[0.058, 0.942, 0.750], [0.330, 0.670, 0.750], [0.670, 0.330, 0.250], [0.942, 0.058, 0.250], [0.193, 0.807, 0.750], [0.807, 0.193, 0.250], [0.461, 0.539, 0.750], [0.539, 0.461, 0.250]], "energy_ev_per_atom": -5.527, "e_form_raw_ev_per_atom": -1.060}



(6)
{"formula": "PIrCl2", "functional": "PBE-GGA", "state": "optimized geometry", "lattice": [[7.843, -1.522, 0.000], [7.843, 1.522, 0.000], [-0.202, 0.000, 3.744]], "species": ["P", "Ir", "Cl", "Cl"], "fractional_positions": [[0.000, 0.000, 0.000], [0.500, 0.500, 0.500], [0.141, 0.141, 0.227], [0.859, 0.859, 0.773]], "energy_ev_per_atom": -4.335, "e_form_raw_ev_per_atom": 0.156}